(1)
Here is a relaxed structure of LuHgPd from the Alexandria database. Energies are from PBE-GGA.

Cell lengths 6.5762, 6.5762, 6.5762 Å; angles 90.00, 90.00, 90.00 degrees
Last column: nearest neighbours and their distance in Å.
Space group F-43m (No. 216)
Unique sites:
Lu 0.0000 0.0000 0.0000 (multiplicity 4)  4 Pd 2.85
Hg 0.0000 0.0000 0.5000 (multiplicity 4)  4 Pd 2.85
Pd 0.2500 0.2500 0.2500 (multiplicity 4)  4 Hg 2.85, 4 Lu 2.85

Summary:
DFT formation energy (eV per atom): -0.58
Density of states at the Fermi level (states/eV/cell): 6.648

(2)
Here is a relaxed structure of Tb5PrNd2Ho from the Alexandria database. Energies are from PBE-GGA.

Cell lengths 8.7793, 8.7793, 15.5955 Å; angles 90.00, 90.00, 90.00 degrees
Last column: nearest neighbours and their distance in Å.
Space group I4/mcm (No. 140)
Unique sites:
Tb 0.0000 0.0000 0.0000 (multiplicity 4)  4 Nd 3.52, 8 Tb 3.81, 2 Pr 3.90
Tb 0.2098 0.2902 0.1377 (multiplicity 16)  1 Nd 3.04, 1 Ho 3.14
Pr 0.0000 0.0000 0.2500 (multiplicity 4)  10 Tb 3.60-3.90
Nd 0.1171 0.3829 0.5000 (multiplicity 8)  1 Nd 2.91, 2 Tb 3.04
Ho 0.0000 0.5000 0.2500 (multiplicity 4)  4 Tb 3.14

Summary:
DFT formation energy (eV per atom): 0.26
Density of states at the Fermi level (states/eV/cell): 42.775